A relaxed HfGaAs crystal. Source: Alexandria via LeMat-Bulk, functional PBE.

Energy of formation, eV per formula unit: -1.8
Energy, eV/atom: -6.464

Geometry as extended XYZ:
```
6
Lattice="3.753 0.000 0.000 0.000 3.753 0.000 0.000 0.000 8.091" Properties=species:S:1:pos:R:3 pbc="T T T"
Ga 0.000 0.000 0.000
Ga 1.877 1.877 0.000
Hf 1.877 0.000 2.319
Hf 0.000 1.877 5.772
As 1.877 0.000 5.181
As 0.000 1.877 2.910
```

A relaxed Hf8GaAs2 crystal. Source: Alexandria via LeMat-Bulk, functional PBE.

Energy of formation, eV per formula unit: -3.5
Energy, eV/atom: -8.679

Geometry as extended XYZ:
```
11
Lattice="-4.050 1.040 -2.820 4.449 -2.068 -5.230 -2.657 -5.542 3.695" Properties=species:S:1:pos:R:3 pbc="T T T"
Hf -0.209 -4.359 -1.864
Hf -2.965 -4.182 0.128
Hf 0.822 -0.999 -1.676
Hf -1.349 -4.724 -4.854
Hf -3.080 -5.571 -2.680
Hf -0.909 -1.845 0.499
Hf 0.707 -2.387 -4.483
Hf -2.049 -2.210 -2.492
As 2.217 -3.159 -2.426
As -0.424 -4.451 0.891
Ga -2.025 0.520 -1.410
```

A relaxed Hf8Ga3As2 crystal. Source: Alexandria via LeMat-Bulk, functional PBE.

Energy of formation, eV per formula unit: -3.8
Energy, eV/atom: -7.829

Geometry as extended XYZ:
```
13
Lattice="-3.215 3.094 -3.189 -4.508 -6.190 -1.461 -1.334 4.521 5.759" Properties=species:S:1:pos:R:3 pbc="T T T"
Ga -0.889 -1.220 -0.288
Ga -3.619 -4.970 -1.173
Ga -1.608 1.547 -1.594
Hf -4.071 3.217 -1.068
Hf -3.236 1.503 3.615
Hf -4.987 -1.791 2.176
Hf -3.809 4.198 2.024
Hf -5.556 1.800 1.458
Hf -3.502 -0.375 -0.350
Hf -5.822 -0.078 -2.507
Hf -5.248 -2.773 -0.916
As -6.204 -0.416 0.105
As -2.853 1.841 1.004
```

A relaxed Hf6Ga2As crystal. Source: Alexandria via LeMat-Bulk, functional PBE.

Energy of formation, eV per formula unit: -4.9
Energy, eV/atom: -8.371

Geometry as extended XYZ:
```
9
Lattice="3.707 0.000 0.000 0.000 7.454 0.000 0.000 -3.727 6.455" Properties=species:S:1:pos:R:3 pbc="T T T"
Ga 0.000 3.727 2.151
Ga 0.000 0.000 4.304
Hf 1.853 5.212 3.882
Hf 1.853 1.485 2.573
Hf 0.000 2.750 4.764
Hf 0.000 6.477 1.692
Hf 1.853 4.484 0.000
Hf 0.000 1.954 0.000
As 1.853 0.000 0.000
```

A relaxed Hf7Ga2As2 crystal. Source: Alexandria via LeMat-Bulk, functional PBE.

Energy of formation, eV per formula unit: -5.8
Energy, eV/atom: -8.252

Geometry as extended XYZ:
```
11
Lattice="3.623 0.000 0.000 1.811 8.277 -0.059 1.811 3.873 7.316" Properties=species:S:1:pos:R:3 pbc="T T T"
Ga 1.811 7.262 1.642
Ga 3.623 5.407 4.748
As 5.434 9.686 4.906
As 1.811 3.239 1.055
Hf 3.623 5.076 2.003
Hf 3.623 3.984 7.130
Hf 5.434 6.918 6.276
Hf 3.623 1.617 2.176
Hf 1.811 3.345 4.142
Hf 3.623 9.468 6.865
Hf 3.623 7.980 3.737
```

A relaxed HfGaAs3 crystal. Source: Alexandria via LeMat-Bulk, functional PBE.

Energy of formation, eV per formula unit: 0.8
Energy, eV/atom: -5.226

Geometry as extended XYZ:
```
5
Lattice="5.169 0.000 0.000 0.000 5.169 0.000 0.000 0.000 5.169" Properties=species:S:1:pos:R:3 pbc="T T T"
As 0.000 2.585 0.000
As 2.585 0.000 0.000
As 0.000 0.000 2.585
Hf 0.000 0.000 0.000
Ga 2.585 2.585 2.585
```

A relaxed HfGaAs3 crystal. Source: Alexandria via LeMat-Bulk, functional PBE.

Energy of formation, eV per formula unit: 3.1
Energy, eV/atom: -4.760

Geometry as extended XYZ:
```
5
Lattice="-1.047 0.827 -4.619 1.595 -4.388 -1.147 -4.413 -1.782 0.681" Properties=species:S:1:pos:R:3 pbc="T T T"
As 0.797 -2.194 -0.574
As -2.206 -0.891 0.340
As -0.523 0.414 -2.309
Hf -1.932 -2.671 -2.543
Ga 0.000 0.000 0.000
```

A relaxed Hf2GaAs crystal. Source: Alexandria via LeMat-Bulk, functional PBE.

Energy of formation, eV per formula unit: -2.2
Energy, eV/atom: -7.442

Geometry as extended XYZ:
```
4
Lattice="3.585 0.000 0.000 1.792 3.104 0.000 1.792 1.035 7.306" Properties=species:S:1:pos:R:3 pbc="T T T"
Hf 1.792 1.035 5.661
Hf 1.792 1.035 1.644
As 5.377 3.104 7.288
Ga 3.585 2.070 3.672
```

A relaxed Hf2GaAs crystal. Source: Alexandria via LeMat-Bulk, functional PBE.

Energy of formation, eV per formula unit: -0.4
Energy, eV/atom: -6.994

Geometry as extended XYZ:
```
4
Lattice="3.531 0.000 0.000 1.766 3.058 0.000 1.766 1.019 8.802" Properties=species:S:1:pos:R:3 pbc="T T T"
Ga 0.000 0.000 0.000
Hf 1.766 1.019 6.047
Hf 5.297 3.058 2.755
As 3.531 2.039 4.401
```

A relaxed Hf8Ga2As3 crystal. Source: Alexandria via LeMat-Bulk, functional PBE.

Energy of formation, eV per formula unit: -4.4
Energy, eV/atom: -8.002

Geometry as extended XYZ:
```
13
Lattice="-5.319 1.418 -2.420 -3.394 -5.863 4.025 0.761 6.548 2.466" Properties=species:S:1:pos:R:3 pbc="T T T"
As -2.660 0.709 -1.210
As -2.629 -4.541 3.118
As -0.765 -1.322 0.907
Hf -4.838 2.325 -0.692
Hf -3.115 -0.222 4.763
Hf -3.236 -0.437 1.433
Hf -3.434 4.756 1.117
Hf -6.567 -0.863 0.919
Hf -4.717 2.540 2.639
Hf -1.385 2.966 3.152
Hf -4.519 -2.653 2.955
Ga -2.545 2.146 0.980
Ga -5.407 -0.043 3.091
```

A relaxed HfGaAs2 crystal. Source: Alexandria via LeMat-Bulk, functional PBE.

Energy of formation, eV per formula unit: -1.5
Energy, eV/atom: -5.952

Geometry as extended XYZ:
```
4
Lattice="3.773 0.000 0.000 1.886 3.267 0.000 1.886 1.089 6.972" Properties=species:S:1:pos:R:3 pbc="T T T"
As 1.886 1.089 1.606
As 1.886 1.089 5.306
Ga 3.773 2.178 3.527
Hf 3.773 2.178 0.019
```

A relaxed Hf2GaAs crystal. Source: Alexandria via LeMat-Bulk, functional PBE.

Energy of formation, eV per formula unit: 1.1
Energy, eV/atom: -6.624

Geometry as extended XYZ:
```
8
Lattice="5.788 0.000 0.000 0.000 5.788 0.000 2.894 2.894 6.572" Properties=species:S:1:pos:R:3 pbc="T T T"
Hf 4.341 4.357 4.929
Hf 4.324 1.447 1.643
Hf 1.463 4.341 1.643
Hf 7.235 7.218 4.929
Ga 2.894 5.788 3.286
Ga 2.894 2.894 0.000
As 0.000 0.000 0.000
As 5.788 2.894 3.286
```